(1)
Below is a geometry-optimized EuPaSb structure, with properties calculated at the PBE level.

## Properties
total moment = 7.90 μB/f.u.
total DFT energy (no corrections) = -7.86 eV/atom
crystal system = hexagonal

The structure in POSCAR format:
```
EuPaSb
1.0
5.269 0.000 0.000
-2.635 4.564 0.000
0.000 0.000 3.220
Eu Pa Sb
1 1 1
Cartesian
0.000 0.000 0.000
2.635 1.521 0.000
0.000 3.042 1.610
```



(2)
Below is a geometry-optimized ScCuOs2 structure, with properties calculated at the PBE level.

## Properties
total moment = 0.00 μB/f.u.
total DFT energy (no corrections) = -8.21 eV/atom
crystal system = tetragonal
calculated formation energy = 11 meV per atom

The structure in POSCAR format:
```
ScCuOs2
1.0
2.889 0.000 0.000
0.000 2.889 0.000
0.000 0.000 7.339
Sc Cu Os
1 1 2
Cartesian
0.000 0.000 0.000
1.445 1.445 1.937
0.000 0.000 3.645
1.445 1.445 5.296
```